Entry 1:
Below is MnGePN after structural relaxation, with properties calculated at the PBE level.

Cell lengths 2.844, 4.039, 4.525 Å; angles 93.08, 98.08, 93.28 degrees
Element x y z (fractional)
1 Mn 0.000 0.000 0.000
2 Ge 0.534 0.487 0.006
3 P 0.139 0.954 0.499
4 N 0.655 0.743 0.609

DFT total energy	-6.728	eV/atom
D(E_F)	1.886	states/eV/cell
offset from the most stable computed form	163	meV/atom
ΔE_f (raw)	153	meV/atom

Entry 2:
Below is KCd12Sn6 after structural relaxation, with properties calculated at the PBE level.

Cell lengths 8.605, 8.605, 8.605 Å; angles 107.32, 107.32, 107.32 degrees
Element x y z (fractional)
1 K 0.000 0.000 0.000
2 Cd 0.102 0.500 0.898
3 Cd 0.102 0.898 0.500
4 Cd 0.190 0.406 0.406
5 Cd 0.406 0.190 0.406
6 Cd 0.406 0.406 0.190
7 Cd 0.500 0.102 0.898
8 Cd 0.500 0.898 0.102
9 Cd 0.594 0.594 0.810
10 Cd 0.594 0.810 0.594
11 Cd 0.810 0.594 0.594
12 Cd 0.898 0.102 0.500
13 Cd 0.898 0.500 0.102
14 Sn 0.220 0.705 0.705
15 Sn 0.295 0.295 0.780
16 Sn 0.295 0.780 0.295
17 Sn 0.705 0.220 0.705
18 Sn 0.705 0.705 0.220
19 Sn 0.780 0.295 0.295

DFT total energy	-1.871	eV/atom
D(E_F)	6.133	states/eV/cell

Entry 3:
Below is Dy3BeO after structural relaxation, with properties calculated at the PBE level.

Cell lengths 4.677, 4.677, 4.677 Å; angles 90.00, 90.00, 90.00 degrees
Element x y z (fractional)
1 Dy 0.000 0.000 0.500
2 Dy 0.000 0.500 0.000
3 Dy 0.500 0.000 0.000
4 Be 0.500 0.500 0.500
5 O 0.000 0.000 0.000

DFT total energy	-5.543	eV/atom
D(E_F)	2.567	states/eV/cell
ΔE_f (raw)	-1045	meV/atom

Entry 4:
Below is RbSr2TmBr8 after structural relaxation, with properties calculated at the PBE level.

Cell lengths 6.893, 9.526, 7.155 Å; angles 90.00, 90.20, 90.00 degrees
Element x y z (fractional)
1 Rb 0.000 0.000 0.000
2 Sr 0.500 0.252 0.500
3 Sr 0.500 0.748 0.500
4 Tm 0.000 0.500 0.000
5 Br 0.231 0.294 0.157
6 Br 0.231 0.706 0.157
7 Br 0.248 0.500 0.681
8 Br 0.264 0.000 0.618
9 Br 0.736 0.000 0.382
10 Br 0.752 0.500 0.319
11 Br 0.769 0.294 0.843
12 Br 0.769 0.706 0.843

DFT total energy	-3.796	eV/atom
D(E_F)	0.000	states/eV/cell
ΔE_f (raw)	-1947	meV/atom

Entry 5:
Below is Cs3AuSe after structural relaxation, with properties calculated at the PBE level.

Cell lengths 5.822, 9.212, 9.855 Å; angles 83.38, 88.40, 88.53 degrees
Element x y z (fractional)
1 Cs 0.209 0.221 0.444
2 Cs 0.248 0.852 0.098
3 Cs 0.263 0.535 0.820
4 Cs 0.737 0.465 0.180
5 Cs 0.752 0.148 0.902
6 Cs 0.791 0.779 0.556
7 Au 0.318 0.612 0.437
8 Au 0.682 0.388 0.563
9 Se 0.243 0.242 0.094
10 Se 0.757 0.758 0.906

DFT total energy	-2.601	eV/atom
offset from the most stable computed form	0	meV/atom
ΔE_f (raw)	-737	meV/atom

Entry 6:
Below is YZr2Ni after structural relaxation, with properties calculated at the PBE level.

Cell lengths 3.309, 3.309, 7.888 Å; angles 90.00, 90.00, 90.00 degrees
Element x y z (fractional)
1 Y 0.000 0.000 0.000
2 Zr 0.500 0.500 0.305
3 Zr 0.500 0.500 0.695
4 Ni 0.000 0.000 0.500

DFT total energy	-7.399	eV/atom
D(E_F)	7.141	states/eV/cell
offset from the most stable computed form	99	meV/atom

Entry 7:
Below is PuHfAsP after structural relaxation, with properties calculated at the PBE level.

Cell lengths 3.891, 3.891, 19.306 Å; angles 90.00, 90.00, 120.00 degrees
Element x y z (fractional)
1 Pu 0.000 0.000 0.000
2 Pu 0.333 0.667 0.667
3 Pu 0.667 0.333 0.333
4 Hf 0.000 0.000 0.492
5 Hf 0.333 0.667 0.159
6 Hf 0.667 0.333 0.826
7 As 0.000 0.000 0.240
8 As 0.333 0.667 0.907
9 As 0.667 0.333 0.574
10 P 0.000 0.000 0.752
11 P 0.333 0.667 0.419
12 P 0.667 0.333 0.085

DFT total energy	-9.758	eV/atom
D(E_F)	32.157	states/eV/cell

Entry 8:
Below is Ti8Al2Ga after structural relaxation, with properties calculated at the PBE level.

Cell lengths 7.351, 7.351, 4.703 Å; angles 104.66, 104.66, 121.03 degrees
Element x y z (fractional)
1 Ti 0.101 0.326 0.676
2 Ti 0.210 0.790 0.000
3 Ti 0.326 0.101 0.676
4 Ti 0.413 0.413 0.223
5 Ti 0.587 0.587 0.777
6 Ti 0.674 0.899 0.324
7 Ti 0.790 0.210 0.000
8 Ti 0.899 0.674 0.324
9 Al 0.304 0.696 0.500
10 Al 0.696 0.304 0.500
11 Ga 0.000 0.000 0.000

DFT total energy	-6.808	eV/atom
D(E_F)	8.754	states/eV/cell

Entry 9:
Below is HfZrReNi2 after structural relaxation, with properties calculated at the PBE level.

Cell lengths 4.466, 4.466, 4.875 Å; angles 90.00, 90.00, 90.00 degrees
Element x y z (fractional)
1 Hf 0.000 0.000 0.000
2 Zr 0.500 0.500 0.500
3 Re 0.000 0.000 0.500
4 Ni 0.000 0.500 0.000
5 Ni 0.500 0.000 0.000

DFT total energy	-7.488	eV/atom
D(E_F)	4.409	states/eV/cell

Entry 10:
Below is Li4LaCe after structural relaxation, with properties calculated at the PBE level.

Cell lengths 5.956, 5.956, 5.956 Å; angles 60.00, 60.00, 60.00 degrees
Element x y z (fractional)
1 Li 0.125 0.125 0.125
2 Li 0.125 0.125 0.624
3 Li 0.125 0.624 0.125
4 Li 0.624 0.125 0.125
5 La 0.500 0.500 0.500
6 Ce 0.750 0.750 0.750

DFT total energy	-2.910	eV/atom
D(E_F)	10.169	states/eV/cell